# 1
First-principles (PBE) data for a relaxed structure of ThMnPdRu, as listed in Alexandria via LeMat-Bulk.

a b c (Å): 4.756 4.756 4.756
angles (deg): 60.00 60.00 60.00
Last column: magnetic moment on the atom in μB.
Positions (direct):
Mn1 0.500 0.500 0.500  3.88
Pd1 0.250 0.250 0.250  0.01
Ru1 0.750 0.750 0.750  0.39
Th1 0.000 0.000 0.000  0.03

Properties
Energy relative to the elements in meV per atom: -242.3
E_tot in eV per atom: -8.007
DOS(E_F) in states/eV/atom: 0.393
Space group: F-43m, No. 216



# 2
First-principles (PBE) data for a relaxed structure of TmMnPdRu, as listed in Alexandria via LeMat-Bulk.

a b c (Å): 4.574 4.574 4.574
angles (deg): 60.00 60.00 60.00
Last column: magnetic moment on the atom in μB.
Positions (direct):
Mn1 0.500 0.500 0.500  3.74
Pd1 0.750 0.750 0.750  0.15
Ru1 0.250 0.250 0.250  0.41
Tm1 0.000 0.000 0.000  -0.12

Properties
Energy relative to the elements in meV per atom: -312.8
E_tot in eV per atom: -7.340
DOS(E_F) in states/eV/atom: 0.510
Space group: F-43m, No. 216



# 3
First-principles (PBE) data for a relaxed structure of MnV2PdRu, as listed in Alexandria via LeMat-Bulk.

a b c (Å): 4.470 4.381 4.470
angles (deg): 90.00 90.00 90.00
Positions (direct):
V1 0.000 0.000 0.500
V2 0.500 0.000 0.000
Pd1 0.500 0.500 0.500
Mn1 0.000 0.500 0.000
Ru1 0.000 0.000 0.000

Properties
Energy relative to the elements in meV per atom: 1154.9
E_tot in eV per atom: -7.220
DOS(E_F) in states/eV/atom: 1.680
Space group: P4/mmm, No. 123



# 4
First-principles (PBE) data for a relaxed structure of MnPdS, as listed in Alexandria via LeMat-Bulk.

a b c (Å): 3.185 3.185 4.990
angles (deg): 108.61 108.61 90.00
Last column: magnetic moment on the atom in μB.
Positions (direct):
Pd1 0.960 0.960 0.920  0.20
Mn1 0.650 0.650 0.300  3.38
S1 0.240 0.240 0.480  -0.05

Properties
E_tot in eV per atom: -6.334
DOS(E_F) in states/eV/atom: 0.560
Energy above the most stable polymorph in this dataset in meV per atom: 16
E_form (uncorrected) in eV/atom: -0.170
Space group: I4mm, No. 107



# 5
First-principles (PBE) data for a relaxed structure of MnPd2S, as listed in Alexandria via LeMat-Bulk.

a b c (Å): 6.016 6.016 5.878
angles (deg): 59.22 59.22 90.00
Positions (direct):
S1 0.500 0.500 0.000
S2 0.250 0.750 0.500
Mn1 0.000 0.000 0.000
Mn2 0.750 0.250 0.500
Pd1 0.875 0.879 0.750
Pd2 0.629 0.125 0.250
Pd3 0.375 0.371 0.750
Pd4 0.121 0.625 0.250

Properties
E_tot in eV per atom: -5.198
DOS(E_F) in states/eV/atom: 2.175
E_form (uncorrected) in eV/atom: 0.723
Space group: I-42d, No. 122



# 6
First-principles (PBE) data for a relaxed structure of MnPdS, as listed in Alexandria via LeMat-Bulk.

a b c (Å): 3.248 4.913 14.439
angles (deg): 142.26 90.00 109.30
Last column: magnetic moment on the atom in μB.
Positions (direct):
Mn1 0.299 0.598 0.669  3.27
Mn2 0.701 0.402 0.331  3.27
S1 0.934 0.868 0.837  -0.13
S2 0.066 0.132 0.163  -0.13
Pd1 0.542 0.084 0.418  0.07
Pd2 0.458 0.916 0.582  0.07

Properties
E_tot in eV per atom: -6.349
DOS(E_F) in states/eV/atom: 0.825
Energy above the most stable polymorph in this dataset in meV per atom: 0
E_form (uncorrected) in eV/atom: -0.186
Space group: C2/m, No. 12



| no. | calculated volume (A^3/atom) |
| --- | --- |
| 1 | 19.0 |
| 2 | 16.9 |
| 3 | 17.5 |
| 4 | 15.1 |
| 5 | 18.4 |
| 6 | 19.8 |